[1]
## Y2MgCu2 (PBEsol)

Data for an optimized crystal structure of Y2MgCu2.

## Properties
Offset from the most stable computed form   0 meV per atom
ρ   5.3 g/cm3
SG   No. 127
Total magnetic moment   0.0 μB per cell
Final energy   -50.382 eV for the cell shown

Lattice parameters (Å, degrees): 3.605 7.568 7.568 90.00 90.00 90.00
Element x y z (fractional)
Y1 0.500 0.330 0.170
Y2 0.500 0.830 0.330
Y3 0.500 0.170 0.670
Y4 0.500 0.670 0.830
Cu1 0.000 0.122 0.378
Cu2 0.000 0.622 0.122
Cu3 0.000 0.878 0.622
Cu4 0.000 0.378 0.878
Mg1 0.000 0.000 0.000
Mg2 0.000 0.500 0.500

***

[2]
## Y2MgCu2 (PBEsol)

Data for an optimized crystal structure of Y2MgCu2.

## Properties
Offset from the most stable computed form   56 meV per atom
ρ   5.3 g/cm3
SG   No. 15
Total magnetic moment   0.0 μB per cell
Final energy   -49.826 eV for the cell shown

Lattice parameters (Å, degrees): 5.396 5.639 8.010 103.85 90.00 118.58
Element x y z (fractional)
Cu1 0.985 0.282 0.000
Cu2 0.297 0.282 0.500
Cu3 0.703 0.718 0.500
Cu4 0.015 0.718 0.000
Y1 0.481 0.294 0.147
Y2 0.187 0.706 0.353
Y3 0.519 0.706 0.853
Y4 0.813 0.294 0.647
Mg1 0.839 0.000 0.250
Mg2 0.161 0.000 0.750

***

[3]
## Y3Mg4Cu2 (PBEsol)

Data for an optimized crystal structure of Y3Mg4Cu2.

## Properties
ρ   3.9 g/cm3
SG   No. 12
Total magnetic moment   0.0 μB per cell
Final energy   -36.680 eV for the cell shown

Lattice parameters (Å, degrees): 3.578 7.500 7.931 95.13 103.04 90.00
Element x y z (fractional)
Mg1 0.453 0.323 0.907
Mg2 0.196 0.846 0.393
Mg3 0.547 0.677 0.093
Mg4 0.804 0.154 0.607
Cu1 0.366 0.913 0.732
Cu2 0.634 0.087 0.268
Y1 0.154 0.381 0.308
Y2 0.000 0.000 0.000
Y3 0.846 0.619 0.692

***

[4]
## Y2MgCu2 (PBEsol)

Data for an optimized crystal structure of Y2MgCu2.

## Properties
Offset from the most stable computed form   201 meV per atom
ρ   4.7 g/cm3
SG   No. 65
Total magnetic moment   0.0 μB per cell
Final energy   -24.185 eV for the cell shown

Lattice parameters (Å, degrees): 3.877 3.877 8.147 90.00 90.00 109.52
Element x y z (fractional)
Y1 0.000 0.000 0.217
Y2 0.000 0.000 0.783
Cu1 0.321 0.679 0.000
Cu2 0.679 0.321 0.000
Mg1 0.500 0.500 0.500

***

[5]
## Y2Mg2Cu (PBEsol)

Data for an optimized crystal structure of Y2Mg2Cu.

## Properties
Offset from the most stable computed form   15 meV per atom
ρ   4.1 g/cm3
SG   No. 59
Total magnetic moment   0.0 μB per cell
Final energy   -43.662 eV for the cell shown

Lattice parameters (Å, degrees): 3.890 4.886 12.274 89.99 90.00 90.00
Element x y z (fractional)
Y1 0.250 0.750 0.415
Y2 0.750 0.250 0.585
Y3 0.250 0.250 0.207
Y4 0.750 0.750 0.793
Cu1 0.250 0.750 0.638
Cu2 0.750 0.250 0.362
Mg1 0.750 0.250 0.992
Mg2 0.750 0.750 0.199
Mg3 0.250 0.250 0.801
Mg4 0.250 0.750 0.008

***

[6]
## YMg3Cu (PBEsol)

Data for an optimized crystal structure of YMg3Cu.

## Properties
ρ   3.4 g/cm3
SG   No. 107
Total magnetic moment   0.0 μB per cell
Final energy   -16.499 eV for the cell shown

Lattice parameters (Å, degrees): 4.072 4.072 7.253 106.31 106.31 90.00
Element x y z (fractional)
Y1 0.395 0.395 0.790
Mg1 0.768 0.768 0.536
Mg2 0.099 0.599 0.197
Mg3 0.599 0.099 0.197
Cu1 0.962 0.962 0.925

***

[7]
## Y2MgCu2 (PBEsol)

Data for an optimized crystal structure of Y2MgCu2.

## Properties
Offset from the most stable computed form   6 meV per atom
ρ   5.2 g/cm3
SG   No. 65
Total magnetic moment   0.0 μB per cell
Final energy   -25.162 eV for the cell shown

Lattice parameters (Å, degrees): 3.528 4.251 7.312 106.91 90.00 90.00
Element x y z (fractional)
Y1 0.000 0.638 0.277
Y2 0.000 0.362 0.723
Cu1 0.500 0.800 0.599
Cu2 0.500 0.200 0.401
Mg1 0.500 0.000 0.000

***

[8]
## Y2Mg2Cu (PBEsol)

Data for an optimized crystal structure of Y2Mg2Cu.

## Properties
Offset from the most stable computed form   0 meV per atom
ρ   4.2 g/cm3
SG   No. 72
Total magnetic moment   0.0 μB per cell
Final energy   -43.808 eV for the cell shown

Lattice parameters (Å, degrees): 5.416 6.357 7.926 113.64 109.98 90.00
Element x y z (fractional)
Mg1 0.078 0.240 0.156
Mg2 0.578 0.916 0.156
Mg3 0.922 0.760 0.844
Mg4 0.422 0.084 0.844
Y1 0.825 0.156 0.651
Y2 0.325 0.495 0.651
Y3 0.675 0.505 0.349
Y4 0.175 0.844 0.349
Cu1 0.750 0.500 0.000
Cu2 0.250 0.500 0.000

***

[9]
## Y2MgCu (PBEsol)

Data for an optimized crystal structure of Y2MgCu.

## Properties
ρ   4.7 g/cm3
SG   No. 63
Total magnetic moment   0.0 μB per cell
Final energy   -40.193 eV for the cell shown

Lattice parameters (Å, degrees): 3.516 6.294 8.851 90.00 90.00 106.22
Element x y z (fractional)
Y1 0.866 0.731 0.559
Y2 0.134 0.269 0.441
Y3 0.866 0.731 0.941
Y4 0.134 0.269 0.059
Cu1 0.760 0.520 0.250
Cu2 0.240 0.480 0.750
Mg1 0.434 0.867 0.250
Mg2 0.566 0.133 0.750

***

[10]
## Y2MgCu (PBEsol)

Data for an optimized crystal structure of Y2MgCu.

## Properties
ρ   4.3 g/cm3
SG   No. 166
Total magnetic moment   0.0 μB per cell
Final energy   -19.451 eV for the cell shown

Lattice parameters (Å, degrees): 3.592 3.592 9.355 78.93 78.93 60.00
Element x y z (fractional)
Mg1 0.000 0.000 0.000
Y1 0.764 0.764 0.708
Y2 0.236 0.236 0.292
Cu1 0.500 0.500 0.500

***

[11]
## Y3Mg2Cu7 (PBEsol)

Data for an optimized crystal structure of Y3Mg2Cu7.

## Properties
ρ   6.4 g/cm3
SG   No. 166
Total magnetic moment   0.0 μB per cell
Final energy   -55.896 eV for the cell shown

Lattice parameters (Å, degrees): 5.243 5.243 8.850 72.77 72.77 60.00
Element x y z (fractional)
Y1 0.860 0.860 0.419
Y2 0.140 0.140 0.581
Y3 0.000 0.000 0.000
Cu1 0.500 0.500 0.500
Cu2 0.084 0.587 0.741
Cu3 0.587 0.587 0.741
Cu4 0.413 0.413 0.259
Cu5 0.413 0.916 0.259
Cu6 0.587 0.084 0.741
Cu7 0.916 0.413 0.259
Mg1 0.333 0.333 0.001
Mg2 0.667 0.667 0.999

***

[12]
## YMg2Cu9 (PBEsol)

Data for an optimized crystal structure of YMg2Cu9.

## Properties
ρ   7.1 g/cm3
SG   No. 194
Total magnetic moment   0.0 μB per cell
Final energy   -102.618 eV for the cell shown

Lattice parameters (Å, degrees): 4.923 4.923 15.899 90.00 90.00 120.00
Element x y z (fractional)
Cu1 0.336 0.168 0.623
Cu2 0.832 0.664 0.877
Cu3 0.832 0.168 0.877
Cu4 0.168 0.832 0.123
Cu5 0.336 0.168 0.877
Cu6 0.000 0.000 0.250
Cu7 0.664 0.832 0.377
Cu8 0.168 0.336 0.377
Cu9 0.333 0.667 0.250
Cu10 0.667 0.333 0.750
Cu11 0.832 0.168 0.623
Cu12 0.832 0.664 0.623
Cu13 0.168 0.336 0.123
Cu14 0.000 0.000 0.000
Cu15 0.000 0.000 0.750
Cu16 0.664 0.832 0.123
Cu17 0.168 0.832 0.377
Cu18 0.000 0.000 0.500
Y1 0.333 0.667 0.750
Y2 0.667 0.333 0.250
Mg1 0.667 0.333 0.467
Mg2 0.333 0.667 0.533
Mg3 0.333 0.667 0.967
Mg4 0.667 0.333 0.033

***

What is the ρ in the eighth record? 4.2 g/cm3

***

Which value of final energy does entry 1 give? -50.382 eV for the cell shown